No. 1
# SCAN LaNb2Ge2, PBEsol geometry
# - energy relative to the elements (eV per atom) = -0.7042
data_LaNb2Ge2
_space_group_name_H-M_alt 'P 1'
_space_group_IT_number 1
_space_group_name_Hall 'P 1'
_cell_length_a 4.089
_cell_length_b 4.089
_cell_length_c 6.723
_cell_angle_alpha 107.70
_cell_angle_beta 107.70
_cell_angle_gamma 90.00
loop_
_atom_site_label
_atom_site_type_symbol
_atom_site_fract_x
_atom_site_fract_y
_atom_site_fract_z
Ge1 Ge 0.394 0.394 0.787
Nb1 Nb 0.750 0.250 0.500
Nb2 Nb 0.250 0.750 0.500
Ge2 Ge 0.606 0.606 0.213
La1 La 0.000 0.000 0.000

=====

No. 2
# SCAN SbTeIr, PBEsol geometry
# - formation energy (no corrections) (eV/atom) = 0.873
data_SbTeIr
_space_group_name_H-M_alt 'P 1'
_space_group_IT_number 1
_space_group_name_Hall 'P 1'
_cell_length_a 4.646
_cell_length_b 4.646
_cell_length_c 4.646
_cell_angle_alpha 60.00
_cell_angle_beta 60.00
_cell_angle_gamma 60.00
loop_
_atom_site_label
_atom_site_type_symbol
_atom_site_fract_x
_atom_site_fract_y
_atom_site_fract_z
Sb1 Sb 0.500 0.500 0.500
Ir1 Ir 0.000 0.000 0.000
Te1 Te 0.250 0.250 0.250

=====

No. 3
# SCAN RbGeAu3, PBEsol geometry
# - energy relative to the elements (eV per atom) = -0.2428
data_RbGeAu3
_space_group_name_H-M_alt 'P 1'
_space_group_IT_number 1
_space_group_name_Hall 'P 1'
_cell_length_a 4.984
_cell_length_b 4.984
_cell_length_c 4.984
_cell_angle_alpha 90.00
_cell_angle_beta 90.00
_cell_angle_gamma 90.00
loop_
_atom_site_label
_atom_site_type_symbol
_atom_site_fract_x
_atom_site_fract_y
_atom_site_fract_z
Rb1 Rb 0.500 0.500 0.500
Ge1 Ge 0.000 0.000 0.000
Au1 Au 0.500 0.000 0.000
Au2 Au 0.000 0.000 0.500
Au3 Au 0.000 0.500 0.000

=====

No. 4
# SCAN YBTeRh2, PBEsol geometry
# - formation energy (no corrections) (eV/atom) = 0.560
data_YBTeRh2
_space_group_name_H-M_alt 'P 1'
_space_group_IT_number 1
_space_group_name_Hall 'P 1'
_cell_length_a 4.373
_cell_length_b 4.818
_cell_length_c 4.818
_cell_angle_alpha 90.00
_cell_angle_beta 90.00
_cell_angle_gamma 90.00
loop_
_atom_site_label
_atom_site_type_symbol
_atom_site_fract_x
_atom_site_fract_y
_atom_site_fract_z
Y1 Y 0.500 0.500 0.500
B1 B 0.500 0.000 0.000
Te1 Te 0.000 0.000 0.000
Rh1 Rh 0.000 0.500 0.000
Rh2 Rh 0.000 0.000 0.500

=====

No. 5
# SCAN Tb12Os5C15, PBEsol geometry
# - energy relative to the elements (eV per atom) = -0.4517
data_Tb12Os5C15
_space_group_name_H-M_alt 'P 1'
_space_group_IT_number 1
_space_group_name_Hall 'P 1'
_cell_length_a 5.049
_cell_length_b 10.627
_cell_length_c 10.627
_cell_angle_alpha 120.00
_cell_angle_beta 90.00
_cell_angle_gamma 90.00
loop_
_atom_site_label
_atom_site_type_symbol
_atom_site_fract_x
_atom_site_fract_y
_atom_site_fract_z
C1 C 0.500 0.717 0.184
C2 C 0.000 0.000 0.791
C3 C 0.000 0.539 0.539
Tb1 Tb 0.000 0.272 0.457
C4 C 0.000 0.000 0.461
C5 C 0.500 0.283 0.467
C6 C 0.500 0.184 0.717
C7 C 0.000 0.664 0.664
Os1 Os 0.000 0.840 0.840
Tb2 Tb 0.000 0.184 0.728
C8 C 0.000 0.791 0.000
Tb3 Tb 0.000 0.457 0.272
C9 C 0.000 0.336 0.000
C10 C 0.000 0.209 0.209
Tb4 Tb 0.000 0.816 0.543
Os2 Os 0.500 0.333 0.667
Tb5 Tb 0.500 0.566 0.566
Os3 Os 0.000 0.160 0.000
C11 C 0.000 0.461 0.000
Tb6 Tb 0.000 0.728 0.184
C12 C 0.500 0.533 0.816
Tb7 Tb 0.500 0.434 0.000
Tb8 Tb 0.500 0.000 0.795
C13 C 0.000 0.000 0.336
Tb9 Tb 0.500 0.795 0.000
Tb10 Tb 0.500 0.000 0.434
Os4 Os 0.000 0.000 0.160
C14 C 0.500 0.816 0.533
Tb11 Tb 0.500 0.205 0.205
Os5 Os 0.500 0.667 0.333
Tb12 Tb 0.000 0.543 0.816
C15 C 0.500 0.467 0.283

=====

No. 6
# SCAN KCrSi, PBEsol geometry
# - offset from the most stable computed form (eV per formula unit) = 1.840
# - formation energy (no corrections) (eV/atom) = 1.410
data_KCrSi
_space_group_name_H-M_alt 'P 1'
_space_group_IT_number 1
_space_group_name_Hall 'P 1'
_cell_length_a 4.919
_cell_length_b 4.919
_cell_length_c 4.919
_cell_angle_alpha 60.00
_cell_angle_beta 60.00
_cell_angle_gamma 60.00
loop_
_atom_site_label
_atom_site_type_symbol
_atom_site_fract_x
_atom_site_fract_y
_atom_site_fract_z
Cr1 Cr 0.500 0.500 0.500
Si1 Si 0.000 0.000 0.000
K1 K 0.750 0.750 0.750

=====

| no. | volume (Å³ per cell) |
| --- | --- |
| 1 | 101 |
| 2 | 71 |
| 3 | 124 |
| 4 | 102 |
| 5 | 494 |
| 6 | 84 |